## NaBeAl3 (PBE)

Data for a geometry-optimized NaBeAl3 structure.

Computed properties:
Density of states at the Fermi level   3.10 states/eV/cell
Energy relative to the elements   0.390 eV per atom
E   -2.86 eV per atom

The structure in CIF format:
```
data_NaBeAl3
_chemical_formula_sum 'Na1 Be1 Al3'
_cell_length_a 4.584
_cell_length_b 4.584
_cell_length_c 4.584
_cell_angle_alpha 90.00
_cell_angle_beta 90.00
_cell_angle_gamma 90.00
_symmetry_space_group_name_H-M 'P m -3 m'
_symmetry_Int_Tables_number 221
_symmetry_space_group_name_Hall '-P 4 2 3'
loop_
_atom_site_label
_atom_site_type_symbol
_atom_site_fract_x
_atom_site_fract_y
_atom_site_fract_z
Na1 Na 0.000 0.000 0.000
Be1 Be 0.500 0.500 0.500
Al1 Al 0.000 0.500 0.500
```